Compound: NiOsC
Source: Alexandria via LeMat-Bulk
Functional: PBE
Structure: relaxed

abc: 2.751 2.754 8.418
angles: 90.00 90.00 90.00
Atoms (fractional coordinates):
Ni 0.000 0.000 0.368
Ni 0.000 0.500 0.868
C 0.000 0.000 0.699
C 0.000 0.500 0.199
Os 0.500 0.000 0.100
Os 0.500 0.500 0.600

Computed properties:
- ΔE_f: 10.2 kcal/mol of atoms
- DOS at the Fermi energy: 2.91 states/eV/cell
- M_tot: 0.0 Bohr magnetons per cell
- Distance to the lowest polymorph of the same formula: 99 meV/atom

=====

Compound: KBaNb3
Source: Alexandria via LeMat-Bulk
Functional: PBE
Structure: relaxed

abc: 5.255 5.255 5.255
angles: 90.00 90.00 90.00
Atoms (fractional coordinates):
K 0.500 0.500 0.500
Nb 0.000 0.500 0.000
Nb 0.000 0.000 0.500
Nb 0.500 0.000 0.000
Ba 0.000 0.000 0.000

Computed properties:
- ΔE_f: 57.0 kcal/mol of atoms
- DOS at the Fermi energy: 5.75 states/eV/cell
- M_tot: 0.0 Bohr magnetons per cell
- Distance to the lowest polymorph of the same formula: 0 meV/atom

=====

Per-record ρ, g/cm3: 13.59; 5.21